DFT (meta-GGA SCAN) results for RuPb3Cl at its PBEsol-relaxed geometry.

Cell and atoms, written as CIF:
```
data_RuPb3Cl
_cell_length_a 5.202
_cell_length_b 5.202
_cell_length_c 5.202
_cell_angle_alpha 90.00
_cell_angle_beta 90.00
_cell_angle_gamma 90.00
_symmetry_space_group_name_H-M 'P m -3 m'
_symmetry_Int_Tables_number 221
_symmetry_space_group_name_Hall '-P 4 2 3'
loop_
_atom_site_label
_atom_site_type_symbol
_atom_site_fract_x
_atom_site_fract_y
_atom_site_fract_z
Ru1 Ru 0.000 0.000 0.000
Pb1 Pb 0.000 0.000 0.500
Cl1 Cl 0.500 0.500 0.500
```

Formation energy from raw total energies ... -0.148 eV/atom
Density of states at the Fermi level ... 5.51 states/eV/cell
Energy ... -54.1778 eV per atom
M_tot ... 0.00 μB/atom



DFT (meta-GGA SCAN) results for Sb2RuPbCl at its PBEsol-relaxed geometry.

Cell and atoms, written as CIF:
```
data_Sb2RuPbCl
_cell_length_a 5.653
_cell_length_b 5.653
_cell_length_c 5.099
_cell_angle_alpha 90.00
_cell_angle_beta 90.00
_cell_angle_gamma 90.00
_symmetry_space_group_name_H-M 'P 4/m m m'
_symmetry_Int_Tables_number 123
_symmetry_space_group_name_Hall '-P 4 2'
loop_
_atom_site_label
_atom_site_type_symbol
_atom_site_fract_x
_atom_site_fract_y
_atom_site_fract_z
Sb1 Sb 0.000 0.500 0.000
Ru1 Ru 0.000 0.000 0.500
Pb1 Pb 0.000 0.000 0.000
Cl1 Cl 0.500 0.500 0.500
```

Formation energy from raw total energies ... 1.262 eV/atom
Density of states at the Fermi level ... 4.71 states/eV/cell
Energy ... -37.3598 eV per atom
M_tot ... 0.35 μB/atom



DFT (meta-GGA SCAN) results for TeRuPb2Cl at its PBEsol-relaxed geometry.

Cell and atoms, written as CIF:
```
data_TeRuPb2Cl
_cell_length_a 5.906
_cell_length_b 5.906
_cell_length_c 5.018
_cell_angle_alpha 90.00
_cell_angle_beta 90.00
_cell_angle_gamma 90.00
_symmetry_space_group_name_H-M 'P 4/m m m'
_symmetry_Int_Tables_number 123
_symmetry_space_group_name_Hall '-P 4 2'
loop_
_atom_site_label
_atom_site_type_symbol
_atom_site_fract_x
_atom_site_fract_y
_atom_site_fract_z
Te1 Te 0.000 0.000 0.000
Ru1 Ru 0.500 0.500 0.500
Pb1 Pb 0.000 0.500 0.000
Cl1 Cl 0.000 0.000 0.500
```

Formation energy from raw total energies ... 1.128 eV/atom
Density of states at the Fermi level ... 2.99 states/eV/cell
Energy ... -45.1954 eV per atom
M_tot ... 0.42 μB/atom



DFT (meta-GGA SCAN) results for Sb10Pb10S24Cl3 at its PBEsol-relaxed geometry.

Cell and atoms, written as CIF:
```
data_Sb10Pb10S24Cl3
_cell_length_a 14.918
_cell_length_b 3.918
_cell_length_c 19.307
_cell_angle_alpha 90.00
_cell_angle_beta 95.06
_cell_angle_gamma 90.00
_symmetry_space_group_name_H-M 'P 1 2/m 1'
_symmetry_Int_Tables_number 10
loop_
_symmetry_equiv_pos_as_xyz
'x,y,z'
'-x,-y,-z'
'-x,y,-z'
'x,-y,z'
loop_
_atom_site_label
_atom_site_type_symbol
_atom_site_fract_x
_atom_site_fract_y
_atom_site_fract_z
Sb1 Sb 0.024 0.000 0.181
Sb2 Sb 0.125 0.000 0.014
Sb3 Sb 0.336 0.000 0.616
Sb4 Sb 0.425 0.000 0.416
Sb5 Sb 0.471 0.000 0.779
Pb1 Pb 0.091 0.500 0.654
Pb2 Pb 0.188 0.500 0.452
Pb3 Pb 0.227 0.500 0.853
Pb4 Pb 0.283 0.500 0.253
Pb5 Pb 0.374 0.500 0.056
S1 S 0.062 0.500 0.917
S2 S 0.077 0.500 0.264
S3 S 0.122 0.000 0.766
S4 S 0.182 0.000 0.562
S5 S 0.186 0.500 0.097
S6 S 0.269 0.000 0.362
S7 S 0.270 0.000 0.961
S8 S 0.293 0.500 0.696
S9 S 0.371 0.000 0.169
S10 S 0.375 0.500 0.506
S11 S 0.438 0.500 0.860
S12 S 0.462 0.500 0.324
Cl1 Cl 0.038 0.000 0.412
Cl2 Cl 0.500 0.000 0.000
```

Formation energy from raw total energies ... -0.447 eV/atom
Density of states at the Fermi level ... 18.12 states/eV/cell
Energy ... -29.9246 eV per atom
M_tot ... 0.00 μB/atom



DFT (meta-GGA SCAN) results for ScPbS2Cl at its PBEsol-relaxed geometry.

Cell and atoms, written as CIF:
```
data_ScPbS2Cl
_cell_length_a 5.143
_cell_length_b 5.143
_cell_length_c 5.128
_cell_angle_alpha 90.00
_cell_angle_beta 90.00
_cell_angle_gamma 90.00
_symmetry_space_group_name_H-M 'P 4/m m m'
_symmetry_Int_Tables_number 123
_symmetry_space_group_name_Hall '-P 4 2'
loop_
_atom_site_label
_atom_site_type_symbol
_atom_site_fract_x
_atom_site_fract_y
_atom_site_fract_z
Sc1 Sc 0.000 0.000 0.000
Pb1 Pb 0.500 0.500 0.500
S1 S 0.000 0.500 0.500
Cl1 Cl 0.500 0.500 0.000
```

Formation energy from raw total energies ... -0.202 eV/atom
Density of states at the Fermi level ... 2.17 states/eV/cell
Energy ... -23.6529 eV per atom
M_tot ... 0.19 μB/atom



DFT (meta-GGA SCAN) results for SiPbS2Cl at its PBEsol-relaxed geometry.

Cell and atoms, written as CIF:
```
data_SiPbS2Cl
_cell_length_a 5.124
_cell_length_b 5.124
_cell_length_c 5.121
_cell_angle_alpha 90.00
_cell_angle_beta 90.00
_cell_angle_gamma 90.00
_symmetry_space_group_name_H-M 'P 4/m m m'
_symmetry_Int_Tables_number 123
_symmetry_space_group_name_Hall '-P 4 2'
loop_
_atom_site_label
_atom_site_type_symbol
_atom_site_fract_x
_atom_site_fract_y
_atom_site_fract_z
Si1 Si 0.000 0.000 0.000
Pb1 Pb 0.500 0.500 0.500
S1 S 0.000 0.500 0.500
Cl1 Cl 0.500 0.500 0.000
```

Formation energy from raw total energies ... 0.598 eV/atom
Density of states at the Fermi level ... 1.69 states/eV/cell
Energy ... -22.0085 eV per atom
M_tot ... 0.00 μB/atom



DFT (meta-GGA SCAN) results for SiPbSCl2 at its PBEsol-relaxed geometry.

Cell and atoms, written as CIF:
```
data_SiPbSCl2
_cell_length_a 5.298
_cell_length_b 5.298
_cell_length_c 5.213
_cell_angle_alpha 90.00
_cell_angle_beta 90.00
_cell_angle_gamma 90.00
_symmetry_space_group_name_H-M 'P 4/m m m'
_symmetry_Int_Tables_number 123
_symmetry_space_group_name_Hall '-P 4 2'
loop_
_atom_site_label
_atom_site_type_symbol
_atom_site_fract_x
_atom_site_fract_y
_atom_site_fract_z
Si1 Si 0.000 0.000 0.000
Pb1 Pb 0.500 0.500 0.500
S1 S 0.500 0.500 0.000
Cl1 Cl 0.000 0.500 0.500
```

Formation energy from raw total energies ... 0.285 eV/atom
Density of states at the Fermi level ... 2.73 states/eV/cell
Energy ... -21.9913 eV per atom
M_tot ... 0.14 μB/atom



DFT (meta-GGA SCAN) results for TePbSCl2 at its PBEsol-relaxed geometry.

Cell and atoms, written as CIF:
```
data_TePbSCl2
_cell_length_a 5.297
_cell_length_b 5.297
_cell_length_c 5.302
_cell_angle_alpha 90.00
_cell_angle_beta 90.00
_cell_angle_gamma 90.00
_symmetry_space_group_name_H-M 'P 4/m m m'
_symmetry_Int_Tables_number 123
_symmetry_space_group_name_Hall '-P 4 2'
loop_
_atom_site_label
_atom_site_type_symbol
_atom_site_fract_x
_atom_site_fract_y
_atom_site_fract_z
Te1 Te 0.000 0.000 0.000
Pb1 Pb 0.500 0.500 0.500
S1 S 0.500 0.500 0.000
Cl1 Cl 0.000 0.500 0.500
```

Formation energy from raw total energies ... 0.016 eV/atom
Density of states at the Fermi level ... 2.82 states/eV/cell
Energy relative to the lowest polymorph listed for this composition ... 0.0882 eV/atom
Energy ... -27.7071 eV per atom
M_tot ... 0.57 μB/atom